Entry 1:
Compound: MgTi2CoO6
Source: Alexandria via LeMat-Bulk
Functional: PBE+U
Structure: optimized geometry

Geometry as extended XYZ:
```
20
Lattice="-4.788 0.241 -2.463 0.216 -5.924 -3.145 -3.653 -3.178 4.647" Properties=species:S:1:pos:R:3 pbc="T T T"
O -4.318 -5.462 0.598
O -2.985 -6.194 -1.904
Ti -2.152 -2.976 -1.009
Co -6.902 -3.240 2.112
O -3.907 -3.399 -1.558
Ti -2.962 -6.514 -0.164
Ti -5.263 -2.347 -0.797
O -6.121 -5.761 -1.825
O -7.267 -4.734 0.666
O -0.958 -4.127 -1.626
O -3.290 -8.265 0.294
O -4.934 -0.596 -1.254
Mg -3.837 -3.837 1.991
O -5.239 -2.667 0.944
O -1.826 -1.224 -1.461
Mg -4.388 -5.024 -2.952
Ti -6.073 -5.885 0.048
O -2.104 -3.100 0.864
O -6.399 -7.637 0.501
Co -1.323 -5.621 -3.072
```

Output
As for the size of the total moment: 3.001 μB per formula unit. The energy comes out at -7.76 eV per atom. The crystal system is monoclinic.


Entry 2:
Compound: MgTlCoO2
Source: Alexandria via LeMat-Bulk
Functional: PBE+U
Structure: optimized geometry

Geometry as extended XYZ:
```
5
Lattice="3.889 0.000 0.000 0.000 5.577 0.000 0.000 0.000 3.889" Properties=species:S:1:pos:R:3 pbc="T T T"
Mg 0.000 0.000 0.000
O 0.000 0.000 1.945
Tl 0.000 2.788 0.000
Co 1.945 2.788 1.945
O 1.945 0.000 0.000
```

Output
As for the size of the total moment: 2.252 μB per formula unit. The energy comes out at -3.72 eV per atom. The crystal system is tetragonal.


Entry 3:
Compound: MgUCo2O6
Source: Alexandria via LeMat-Bulk
Functional: PBE+U
Structure: optimized geometry

Geometry as extended XYZ:
```
10
Lattice="-2.296 2.524 -2.542 -4.731 -2.994 1.300 -1.017 3.528 4.422" Properties=species:S:1:pos:R:3 pbc="T T T"
O -5.490 0.496 0.213
O -3.128 1.990 -0.436
O -5.997 2.257 2.420
O -3.277 0.710 2.415
Co -2.597 4.061 -0.102
O -3.636 3.751 1.771
O -0.425 0.468 -0.471
Co -4.455 0.800 -1.663
Mg -4.369 1.911 1.206
U -1.547 1.701 -1.712
```

Output
As for the size of the total moment: 5.950 μB per formula unit. The energy comes out at -7.02 eV per atom. The crystal system is tetragonal.


Entry 4:
Compound: Mg2UCoO6
Source: Alexandria via LeMat-Bulk
Functional: PBE+U
Structure: optimized geometry

Geometry as extended XYZ:
```
10
Lattice="4.276 0.000 0.000 0.000 5.903 0.000 0.000 0.000 5.903" Properties=species:S:1:pos:R:3 pbc="T T T"
O 0.906 0.000 0.000
O 0.791 2.952 2.952
O 3.137 4.454 1.449
O 3.137 1.449 1.449
Mg 3.484 2.952 0.000
Mg 3.484 0.000 2.952
O 3.137 1.449 4.454
U 2.884 2.952 2.952
O 3.137 4.454 4.454
Co 3.466 0.000 0.000
```

Output
As for the size of the total moment: 5.017 μB per formula unit. The energy comes out at -6.98 eV per atom. The crystal system is tetragonal.


Entry 5:
Compound: MgVCoO4
Source: Alexandria via LeMat-Bulk
Functional: PBE+U
Structure: optimized geometry

Geometry as extended XYZ:
```
14
Lattice="-5.506 0.120 2.389 0.909 -2.387 -5.329 2.055 -2.705 4.871" Properties=species:S:1:pos:R:3 pbc="T T T"
O -2.150 -2.974 2.736
Co -2.753 0.060 1.195
V -1.271 -2.486 0.966
O -3.452 -0.625 2.919
O -3.099 -1.726 0.488
O 0.909 -4.347 -0.988
O -1.042 -0.678 1.873
V 1.482 -2.546 -0.229
Mg -3.872 -1.987 -1.280
O 0.556 -3.246 1.443
O -1.501 -4.294 0.058
O -0.392 -1.998 -0.804
Co -1.726 -1.293 3.630
Mg 1.329 -2.985 3.211
```

Output
As for the size of the total moment: 2.000 μB per formula unit. The energy comes out at -6.72 eV per atom. The crystal system is orthorhombic.


Entry 6:
Compound: Mg6VCoO8
Source: Alexandria via LeMat-Bulk
Functional: PBE+U
Structure: optimized geometry

Geometry as extended XYZ:
```
16
Lattice="4.270 0.000 0.000 0.000 4.270 0.000 0.000 0.000 8.624" Properties=species:S:1:pos:R:3 pbc="T T T"
O 0.000 2.135 4.312
O 2.135 2.135 2.152
Mg 2.135 2.135 0.000
O 0.000 0.000 2.164
Mg 2.135 2.135 4.312
O 0.000 2.135 0.000
Co 0.000 0.000 0.000
O 2.135 0.000 4.312
O 0.000 0.000 6.460
Mg 2.135 0.000 6.490
O 2.135 0.000 0.000
Mg 0.000 2.135 6.490
Mg 2.135 0.000 2.134
V 0.000 0.000 4.312
O 2.135 2.135 6.472
Mg 0.000 2.135 2.134
```

Output
As for the size of the total moment: 5.756 μB per formula unit. The energy comes out at -6.21 eV per atom. The crystal system is tetragonal.


Entry 7:
Compound: Mg6VCoO8
Source: Alexandria via LeMat-Bulk
Functional: PBE+U
Structure: optimized geometry

Geometry as extended XYZ:
```
16
Lattice="4.272 0.000 0.000 0.000 4.272 0.000 0.000 0.000 8.605" Properties=species:S:1:pos:R:3 pbc="T T T"
Co 0.000 0.000 0.000
Mg 0.000 2.136 2.164
O 0.000 0.000 2.199
V 2.136 2.136 0.000
O 0.000 2.136 4.302
Mg 0.000 2.136 6.441
O 0.000 0.000 6.406
Mg 0.000 0.000 4.302
O 0.000 2.136 0.000
Mg 2.136 0.000 6.441
O 2.136 0.000 0.000
O 2.136 2.136 2.176
Mg 2.136 0.000 2.164
O 2.136 2.136 6.429
Mg 2.136 2.136 4.302
O 2.136 0.000 4.302
```

Output
As for the size of the total moment: 5.649 μB per formula unit. The energy comes out at -6.21 eV per atom. The crystal system is tetragonal.


Entry 8:
Compound: MgV2CoO6
Source: Alexandria via LeMat-Bulk
Functional: PBE+U
Structure: optimized geometry

Geometry as extended XYZ:
```
20
Lattice="-2.830 1.513 4.580 -3.856 -5.427 3.394 3.455 -1.202 6.516" Properties=species:S:1:pos:R:3 pbc="T T T"
O -1.079 -1.549 11.182
O -1.300 -3.209 9.039
V -1.786 -3.121 10.845
Mg 2.091 -1.203 7.381
V -1.445 -1.995 3.645
V -1.486 -0.444 6.522
O -3.358 -4.440 7.315
Mg -5.322 -3.912 7.110
O -1.968 -0.423 2.893
V -1.745 -4.672 7.969
O -2.094 1.078 5.733
O -1.137 -6.194 8.757
O -1.263 -4.692 11.598
O 0.127 -0.676 7.176
Co -0.560 -1.161 9.143
O -2.151 -3.567 3.309
O -0.814 -4.503 6.352
O -2.417 -0.613 8.139
Co -2.671 -3.955 5.347
O -1.930 -1.906 5.452
```

Output
As for the size of the total moment: 5.000 μB per formula unit. The energy comes out at -7.02 eV per atom. The crystal system is monoclinic.


Entry 9:
Compound: Mg30VCoO32
Source: Alexandria via LeMat-Bulk
Functional: PBE+U
Structure: optimized geometry

Geometry as extended XYZ:
```
64
Lattice="-6.834 3.111 -4.018 -4.980 -2.760 6.334 1.015 7.455 4.046" Properties=species:S:1:pos:R:3 pbc="T T T"
Mg -3.417 1.555 -2.009
Mg -3.484 -0.212 5.763
O -4.681 4.300 6.784
O -8.610 2.125 2.748
Mg -1.452 2.636 0.007
O -8.102 5.857 4.773
O -4.580 6.043 -0.967
Mg -0.989 1.171 2.590
Mg -5.863 5.369 0.597
O -4.198 -0.603 2.163
Mg -2.976 3.524 7.791
O -7.616 0.954 0.153
Mg -2.490 -1.380 3.167
O -2.189 5.681 3.614
O -5.610 7.238 1.603
O -1.240 4.523 0.996
Mg -6.392 5.075 5.777
O -2.697 1.950 1.589
Mg -4.368 7.930 0.022
O -5.189 0.568 4.759
O -7.104 4.679 2.179
Mg -3.900 6.456 2.607
Mg -0.943 6.372 2.035
O -6.641 3.215 4.760
O -5.120 2.331 -3.010
O 0.254 1.863 1.011
O -4.158 4.591 1.602
Mg -4.407 2.731 0.585
O -5.654 2.037 2.168
Mg -2.910 5.283 0.014
O -3.730 -2.067 4.745
O -3.696 3.128 4.183
O -6.118 3.507 -0.422
O -7.153 -0.515 2.742
Mg -1.982 2.348 5.190
O -5.146 5.770 4.194
Mg -4.876 4.194 -2.006
O -2.237 0.476 4.174
Mg -0.481 4.907 4.617
Mg -6.899 1.350 3.755
Mg -8.349 3.991 3.759
Co 0.000 0.000 0.000
Mg -8.859 0.263 1.737
O -1.249 -0.692 1.589
O -0.766 3.022 3.642
Mg -2.450 3.816 2.603
O -3.199 1.673 6.738
Mg -5.400 3.903 3.181
Mg -3.436 4.988 5.197
V 0.507 3.728 2.023
Mg -5.444 -1.291 3.744
O -3.165 3.411 -1.002
O -2.655 7.155 1.030
Mg -7.363 2.819 1.165
O -4.661 0.866 -0.426
O -1.714 0.780 -1.008
Mg -3.943 1.262 3.175
Mg -6.856 6.544 3.187
O 0.761 5.592 3.035
Mg -5.907 0.176 1.158
Mg -4.937 2.438 5.765
O -1.728 4.219 6.206
Mg -2.955 0.088 0.579
Mg -6.370 1.642 -1.428
```

Output
As for the size of the total moment: 6.000 μB per formula unit. The energy comes out at -6.04 eV per atom. The crystal system is tetragonal.


Entry 10:
Compound: MgCo2WO6
Source: Alexandria via LeMat-Bulk
Functional: PBE+U
Structure: optimized geometry

Geometry as extended XYZ:
```
10
Lattice="5.209 -0.001 0.001 2.604 4.510 0.000 2.605 1.504 4.687" Properties=species:S:1:pos:R:3 pbc="T T T"
Mg 7.814 4.510 2.619
O 3.679 3.074 3.607
O 5.915 1.649 3.607
O 7.110 3.003 1.191
Co 5.209 3.007 1.998
O 4.260 4.655 1.191
Co 2.605 1.504 4.292
O 6.032 4.298 3.607
O 4.255 1.361 1.191
W 2.605 1.503 0.207
```

Output
As for the size of the total moment: 6.039 μB per formula unit. The energy comes out at -6.65 eV per atom. The crystal system is trigonal.


Entry 11:
Compound: Mg2CoWO6
Source: Alexandria via LeMat-Bulk
Functional: PBE+U
Structure: optimized geometry

Geometry as extended XYZ:
```
10
Lattice="-3.608 -3.690 0.669 -1.133 -3.267 -3.889 1.730 -5.279 0.449" Properties=species:S:1:pos:R:3 pbc="T T T"
O -1.841 -4.527 -0.189
Co -1.478 -6.143 -1.373
W -4.603 -7.080 -3.157
O -1.138 -5.283 -3.187
O -1.242 -7.356 0.532
O -0.657 -8.099 -2.184
O -3.339 -6.933 -1.610
Mg -1.085 -2.762 -0.846
Mg -2.577 -8.892 -2.225
O 0.743 -5.904 -0.960
```

Output
As for the size of the total moment: 3.013 μB per formula unit. The energy comes out at -6.65 eV per atom. The crystal system is trigonal.


Entry 12:
Compound: MgCoW2O
Source: Alexandria via LeMat-Bulk
Functional: PBE+U
Structure: optimized geometry

Geometry as extended XYZ:
```
5
Lattice="-1.268 3.451 2.136 1.764 -1.422 3.345 3.609 1.983 -1.060" Properties=species:S:1:pos:R:3 pbc="T T T"
W -0.634 1.725 1.068
Co 0.882 -0.711 1.673
W 1.804 0.991 -0.530
Mg 2.052 2.005 2.211
O 0.000 0.000 0.000
```

Output
As for the size of the total moment: 3.014 μB per formula unit. The energy comes out at -4.64 eV per atom. The crystal system is tetragonal.


Entry 13:
Compound: Mg2CoWO6
Source: Alexandria via LeMat-Bulk
Functional: PBE+U
Structure: optimized geometry

Geometry as extended XYZ:
```
20
Lattice="-0.747 4.442 -2.559 2.237 -2.125 -4.341 -6.976 -2.558 -2.339" Properties=species:S:1:pos:R:3 pbc="T T T"
W -6.605 0.821 -7.069
O -6.015 -2.006 -3.419
O -2.675 1.280 -3.966
Mg -4.726 -0.734 -5.031
O -4.704 0.641 -6.575
O -2.811 -1.521 -5.273
O -0.782 -0.882 -2.665
W -3.862 0.942 -2.449
Co -0.374 2.221 -1.279
Mg -0.761 0.493 -4.208
Co -2.370 -2.342 -3.340
O -0.116 -0.990 -5.535
O -3.569 -0.971 -2.524
O -5.355 -2.464 -5.979
O -1.918 0.729 -6.716
O -5.370 0.749 -3.704
Mg -2.519 3.628 -3.381
O 0.528 1.765 -5.821
O -0.132 2.223 -3.261
Mg -2.968 -3.869 -5.858
```

Output
As for the size of the total moment: 3.012 μB per formula unit. The energy comes out at -6.61 eV per atom. The crystal system is monoclinic.


Entry 14:
Compound: YMg30CoO32
Source: Alexandria via LeMat-Bulk
Functional: PBE+U
Structure: optimized geometry

Geometry as extended XYZ:
```
64
Lattice="-8.116 2.474 1.248 -0.294 -4.613 7.233 2.757 6.802 4.450" Properties=species:S:1:pos:R:3 pbc="T T T"
Mg -0.105 3.384 7.247
Mg -0.147 -2.306 3.617
O 1.155 -0.111 7.733
Mg -5.331 3.594 2.075
O -3.520 0.620 5.345
O 0.511 -0.684 4.678
O -4.755 2.920 6.762
O 1.309 2.301 3.950
O -5.477 2.403 3.851
O -0.076 -1.191 1.867
Mg -3.438 1.788 3.566
Mg -2.293 -2.792 5.689
Mg 1.823 1.621 8.647
O 2.046 5.046 3.301
O -1.991 6.335 3.959
Mg -4.190 4.629 7.875
Mg -2.215 2.875 9.365
Mg -2.069 5.165 5.775
Mg -3.994 6.892 4.232
Mg -1.462 0.035 5.056
O -3.367 2.941 1.738
O -1.410 1.164 3.226
Mg -2.826 2.332 6.465
O -2.900 1.171 8.286
O -0.176 2.261 9.080
O -6.010 1.832 0.924
O -2.132 4.044 7.585
O 1.953 2.874 7.005
O -5.624 0.092 7.475
Mg -4.205 -1.069 4.240
O -0.897 1.744 6.169
Mg 0.499 -1.646 6.510
Mg -0.856 0.574 7.932
O -4.278 -2.220 6.045
Mg -3.584 -0.501 7.156
O -1.558 -1.148 6.850
O -0.029 4.572 5.456
Co 1.232 1.095 5.842
Mg -2.150 -0.556 2.182
Mg -6.117 0.653 2.792
O 0.712 1.756 1.149
Mg -2.679 4.638 2.849
O -2.752 3.493 4.645
Mg -4.797 4.090 4.999
Mg -5.548 1.280 5.684
O -2.203 -1.680 3.933
O -2.106 0.642 0.324
Mg -6.260 -1.583 6.299
Mg -4.058 1.237 0.624
O -0.677 4.028 2.541
Mg 1.379 3.401 2.225
Mg -1.364 2.385 1.465
Mg -4.941 1.819 8.560
Y 0.000 0.000 0.000
Mg 1.964 3.836 5.173
O -4.682 5.248 3.157
O -0.218 -3.422 5.366
Mg 0.640 0.569 3.037
Mg -0.711 2.845 4.371
Mg -0.028 5.683 3.623
O -4.242 3.500 9.705
O -4.132 0.082 2.436
O -6.207 -0.459 4.548
O -4.095 5.811 6.081
```

Output
As for the size of the total moment: 2.000 μB per formula unit. The energy comes out at -6.05 eV per atom. The crystal system is tetragonal.


Entry 15:
Compound: YMg14CoO16
Source: Alexandria via LeMat-Bulk
Functional: PBE+U
Structure: optimized geometry

Geometry as extended XYZ:
```
32
Lattice="-6.684 5.504 0.181 -4.572 -5.705 4.642 1.534 1.743 3.654" Properties=species:S:1:pos:R:3 pbc="T T T"
O 0.767 0.872 1.827
O -7.685 0.721 5.448
O -2.575 3.624 1.917
Mg -2.950 -0.053 1.264
O -4.861 0.771 4.238
O -4.331 -2.041 5.357
O -4.960 4.085 0.134
Mg -4.145 4.917 1.960
Mg -6.480 2.104 4.282
Mg -8.307 -0.148 3.559
O -5.391 3.583 3.120
Mg -6.131 2.567 1.350
Mg -5.969 -0.611 5.363
Mg -3.753 2.153 3.114
Mg -0.445 -0.641 3.057
Mg -3.342 2.752 0.091
Mg -3.242 -0.562 4.195
Mg -5.126 -2.768 3.473
O -2.038 0.821 3.029
Mg -2.593 -3.321 5.238
O -7.387 1.348 2.459
Mg -1.005 2.331 1.875
O -1.179 -1.471 1.197
O -1.519 -1.981 4.148
Mg -2.286 -2.853 2.321
O -3.393 -4.234 3.445
O -3.869 -1.549 2.364
Y 0.000 0.000 0.000
O -4.425 1.401 1.190
O -1.724 1.420 0.047
O -6.832 -1.602 3.633
Co -5.628 -0.101 2.412
```

Output
As for the size of the total moment: 2.005 μB per formula unit. The energy comes out at -6.12 eV per atom. The crystal system is tetragonal.